# NpFe2TcO6, optimized geometry, DFT PBE with a Hubbard U
data_NpFe2TcO6
_chemical_formula_sum 'Np1 Fe2 Tc1 O6'
_space_group_name_H-M_alt 'P 1'
_space_group_IT_number 1
_cell_length_a 5.2878
_cell_length_b 5.3362
_cell_length_c 5.7394
_cell_angle_alpha 90.83
_cell_angle_beta 116.64
_cell_angle_gamma 119.55
loop_
_space_group_symop_operation_xyz
'x,y,z'
loop_
_atom_site_label
_atom_site_fract_x
_atom_site_fract_y
_atom_site_fract_z
_atom_site_occupancy
Np1 0.0000 0.0000 0.0000 1
Fe1 0.5870 0.2977 0.8841 1
Fe2 0.6008 0.8019 0.4052 1
Tc1 0.9873 0.4936 0.4831 1
O1 0.1048 0.8871 0.6981 1
O2 0.1101 0.6956 0.2119 1
O3 0.4768 0.5994 0.6953 1
O4 0.5182 0.4138 0.2049 1
O5 0.8046 0.1012 0.2185 1
O6 0.8071 0.2208 0.6978 1
# **E**: -0.2904 hartree per atom